Arrangement 1

# Ge2IF

Crystalline Ge2IF at its relaxed geometry (PBE, Alexandria via LeMat-Bulk).

Cell: 4.961 4.961 4.961 Å, 60.00 60.00 60.00°
Positions (direct):
1 I 0.500 0.500 0.500
2 F 0.000 0.000 0.000
3 Ge 0.250 0.250 0.250
4 Ge 0.750 0.750 0.750

DOS at the Fermi energy: 3.630 states/eV per cell
theoretical density: 5600 kg/m3


Arrangement 2

# Ge2IF

Crystalline Ge2IF at its relaxed geometry (PBE, Alexandria via LeMat-Bulk).

Cell: 4.951 4.951 8.939 Å, 73.92 73.92 90.00°
Positions (direct):
1 F 0.500 0.500 0.000
2 Ge 0.269 0.625 0.250
3 Ge 0.375 0.519 0.750
4 I 0.000 0.000 0.000
5 Ge 0.481 0.125 0.250
6 Ge 0.875 0.731 0.750
7 I 0.750 0.250 0.500
8 F 0.250 0.750 0.500

DOS at the Fermi energy: 3.009 states/eV per cell
theoretical density: 4796 kg/m3


Short version: arrangement 2, arrangement 1, most stable first.


Arrangement 1

# InGeI2F

Crystalline InGeI2F at its relaxed geometry (PBE, Alexandria via LeMat-Bulk).

Cell: 6.045 6.045 4.285 Å, 90.00 90.00 90.00°
Positions (direct):
1 I 0.000 0.500 0.000
2 Ge 0.000 0.000 0.000
3 In 0.500 0.500 0.500
4 I 0.500 0.000 0.000
5 F 0.000 0.000 0.500

theoretical density: 4881 kg/m3


Arrangement 2

# InGeI2F

Crystalline InGeI2F at its relaxed geometry (PBE, Alexandria via LeMat-Bulk).

Cell: 6.054 6.054 4.263 Å, 90.00 90.00 90.00°
Positions (direct):
1 F 0.000 0.000 0.000
2 I 0.000 0.500 0.000
3 Ge 0.500 0.500 0.500
4 I 0.500 0.000 0.000
5 In 0.000 0.000 0.500

DOS at the Fermi energy: 3.382 states/eV per cell
theoretical density: 4891 kg/m3


Short version: arrangement 1, arrangement 2, most stable first.